Entry 1:
KSr2Zn2 | PBE | relaxed

## Properties
Energy relative to the elements (eV per formula unit): 0.104

Cell: 9.6029 9.6029 3.8513 Å, 90.00 90.00 90.00°
Closest atoms and distances in Å follow each position.
Element x y z (fractional)
K: 0.5000 0.5000 0.0000  4 Sr 3.72, 2 K 3.85, 8 Zn 4.11
K: 0.0000 0.0000 0.0000  4 Sr 3.72, 2 K 3.85, 8 Zn 4.11
Zn: 0.3451 0.1549 0.5000  6 Sr 3.41-3.42
Zn: 0.6549 0.8451 0.5000  6 Sr 3.41-3.42
Zn: 0.1549 0.6549 0.5000  6 Sr 3.41-3.42
Zn: 0.8451 0.3451 0.5000  6 Sr 3.41-3.42
Sr: 0.8628 0.6372 0.0000  6 Zn 3.41-3.42, 2 K 3.72, 1 Sr 3.73
Sr: 0.3628 0.8628 0.0000  6 Zn 3.41-3.42, 2 K 3.72, 1 Sr 3.73
Sr: 0.1372 0.3628 0.0000  6 Zn 3.41-3.42, 2 K 3.72, 1 Sr 3.73
Sr: 0.6372 0.1372 0.0000  6 Zn 3.41-3.42, 2 K 3.72, 1 Sr 3.73

=====

Entry 2:
K4Er3ThSe8 | PBE | relaxed

## Properties
Formation energy without anion corrections (eV/f.u.): -27.11

Cell: 8.3953 9.1077 8.3953 Å, 117.45 120.00 90.00°
Closest atoms and distances in Å follow each position.
Element x y z (fractional)
Th: 0.0000 0.5000 0.0000  6 Se 2.94
Se: 0.2655 0.2967 0.5311  3 Er 2.89
Se: 0.7612 0.2917 0.5223  2 Er 2.89, 1 Th 2.94
Se: 0.7307 0.7083 0.9695  2 Er 2.89, 1 Th 2.94
Se: 0.2388 0.7083 0.4777  2 Er 2.89, 1 Th 2.94
Se: 0.2389 0.7083 0.9695  2 Er 2.89, 1 Th 2.94
Se: 0.7345 0.7033 0.4689  3 Er 2.89
Se: 0.2693 0.2917 0.0305  2 Er 2.89, 1 Th 2.94
Se: 0.7611 0.2917 0.0305  2 Er 2.89, 1 Th 2.94
K: 0.0000 0.0000 0.0000  6 Se 3.32-3.33
K: 0.5000 0.0000 0.0000  6 Se 3.28
K: 0.0000 0.0000 0.5000  6 Se 3.32-3.33
K: 0.5000 0.0000 0.5000  6 Se 3.32-3.33
Er: 0.5000 0.5000 0.0000  6 Se 2.89
Er: 0.0000 0.5000 0.5000  6 Se 2.89
Er: 0.5000 0.5000 0.5000  6 Se 2.89

=====

Entry 3:
Mg4CrPt | PBE | relaxed

## Properties
Energy relative to the elements (eV per formula unit): 1.243

Cell: 5.4268 5.4268 5.4268 Å, 60.00 60.00 60.00°
Closest atoms and distances in Å follow each position.
Element x y z (fractional)
Mg: 0.3754 0.8737 0.3754  6 Mg 2.70-2.72
Mg: 0.8737 0.3754 0.3754  6 Mg 2.70-2.72
Mg: 0.3754 0.3754 0.8737  6 Mg 2.70-2.72
Mg: 0.3754 0.3754 0.3754  6 Mg 2.70-2.72
Pt: 0.7500 0.7500 0.7500  12 Mg 3.18, 4 Cr 3.32
Cr: 0.0000 0.0000 0.0000  12 Mg 3.18, 4 Pt 3.32

=====

Entry 4:
Sm2Ho2Mg | PBE | relaxed

## Properties
Energy relative to the elements (eV per formula unit): -0.097

Cell: 3.5917 7.1973 13.1602 Å, 114.23 97.84 90.00°
Closest atoms and distances in Å follow each position.
Element x y z (fractional)
Sm: 0.4059 0.8588 0.8117  4 Mg 3.38, 4 Ho 3.54, 4 Sm 3.59-3.60
Sm: 0.4059 0.3588 0.8117  4 Mg 3.38, 4 Ho 3.54, 4 Sm 3.59-3.60
Sm: 0.5941 0.6412 0.1883  4 Mg 3.38, 4 Ho 3.54, 4 Sm 3.59-3.60
Sm: 0.5941 0.1412 0.1883  4 Mg 3.38, 4 Ho 3.54, 4 Sm 3.59-3.60
Mg: 0.0000 0.2500 0.0000  8 Sm 3.38, 4 Mg 3.59-3.60
Mg: 0.0000 0.7500 0.0000  8 Sm 3.38, 4 Mg 3.59-3.60
Ho: 0.1982 0.0472 0.3963  8 Ho 3.54-3.60, 4 Sm 3.54
Ho: 0.1982 0.5472 0.3963  8 Ho 3.54-3.60, 4 Sm 3.54
Ho: 0.8018 0.4528 0.6037  8 Ho 3.54-3.60, 4 Sm 3.54
Ho: 0.8018 0.9528 0.6037  8 Ho 3.54-3.60, 4 Sm 3.54

=====

Entry 5:
Ac2Cd15Pb2 | PBE | relaxed

## Properties
Energy relative to the elements (eV per formula unit): -3.138

Cell: 7.8576 7.8576 7.8576 Å, 84.60 84.60 84.60°
Closest atoms and distances in Å follow each position.
Element x y z (fractional)
Cd: 0.3544 0.3544 0.8292  8 Cd 2.92-3.15
Cd: 0.3544 0.8292 0.3544  8 Cd 2.92-3.15
Cd: 0.6456 0.6456 0.1708  8 Cd 2.92-3.15
Cd: 0.3102 0.0000 0.6898  8 Cd 2.97-3.28
Cd: 0.6898 0.3102 0.0000  8 Cd 2.97-3.28
Cd: 0.0000 0.6898 0.3102  8 Cd 2.97-3.28
Cd: 0.0000 0.3102 0.6898  8 Cd 2.97-3.28
Cd: 0.6456 0.1708 0.6456  8 Cd 2.92-3.15
Cd: 0.1708 0.6456 0.6456  8 Cd 2.92-3.15
Cd: 0.6898 0.0000 0.3102  8 Cd 2.97-3.28
Cd: 0.8292 0.3544 0.3544  8 Cd 2.92-3.15
Cd: 0.0000 0.0000 0.5000  8 Cd 2.97-3.14, 2 Pb 3.19
Cd: 0.5000 0.0000 0.0000  8 Cd 2.97-3.14, 2 Pb 3.19
Cd: 0.0000 0.5000 0.0000  8 Cd 2.97-3.14, 2 Pb 3.19
Cd: 0.3102 0.6898 0.0000  8 Cd 2.97-3.28
Pb: 0.1039 0.1039 0.1039  1 Pb 3.08, 6 Cd 3.19-3.40
Pb: 0.8961 0.8961 0.8961  1 Pb 3.08, 6 Cd 3.19-3.40
Ac: 0.3382 0.3382 0.3382  1 Pb 3.48, 12 Cd 3.65-3.89
Ac: 0.6618 0.6618 0.6618  1 Pb 3.48, 12 Cd 3.65-3.89

=====

Entry 6:
LiCa2InI6 | PBE | relaxed

## Properties
Formation energy without anion corrections (eV/f.u.): -12.58

Cell: 8.0422 8.0422 8.6135 Å, 62.16 62.16 59.99°
Closest atoms and distances in Å follow each position.
Element x y z (fractional)
I: 0.1414 0.3738 0.7567  1 Li 3.03, 2 Ca 3.14-3.19
I: 0.5920 0.2504 0.2370  1 Li 3.14, 2 Ca 3.16-3.18
I: 0.7282 0.1414 0.7567  1 Li 3.03, 2 Ca 3.14-3.19
I: 0.2504 0.9207 0.2370  1 Li 3.14, 2 Ca 3.16-3.18
I: 0.9207 0.5919 0.2371  1 Li 3.14, 2 Ca 3.16-3.19
I: 0.3737 0.7282 0.7567  1 Li 3.03, 2 Ca 3.14-3.19
Li: 0.3281 0.3281 0.0155  6 I 3.03-3.14
Ca: 0.0024 0.0024 0.9930  6 I 3.14-3.19
Ca: 0.5123 0.5123 0.4632  6 I 3.16-3.19
In: 0.8124 0.8126 0.5625  6 I 3.40-3.55

=====

Entry 7:
Fe2BAu2 | PBE | relaxed

## Properties
Energy relative to the elements (eV per formula unit): 1.425

Cell: 5.4265 5.4265 4.6024 Å, 90.00 90.00 90.00°
Closest atoms and distances in Å follow each position.
Element x y z (fractional)
Au: 0.1769 0.6769 0.5000  6 Fe 2.64-2.93, 5 Au 2.71-2.83
Au: 0.6769 0.8231 0.5000  6 Fe 2.64-2.93, 5 Au 2.71-2.83
Au: 0.3231 0.1769 0.5000  6 Fe 2.64-2.93, 5 Au 2.71-2.83
Au: 0.8231 0.3231 0.5000  6 Fe 2.64-2.93, 5 Au 2.71-2.83
B: 0.5000 0.5000 0.0000  4 Fe 2.05
B: 0.0000 0.0000 0.0000  4 Fe 2.05
Fe: 0.6556 0.1556 0.0000  2 B 2.05
Fe: 0.1556 0.3444 0.0000  2 B 2.05
Fe: 0.3444 0.8444 0.0000  2 B 2.05
Fe: 0.8444 0.6556 0.0000  2 B 2.05

=====

Entry 8:
HfNpRuRh | PBE | relaxed

## Properties
Energy relative to the elements (eV per formula unit): -1.532

Cell: 4.7038 4.7038 4.7038 Å, 60.00 60.00 60.00°
Closest atoms and distances in Å follow each position.
Element x y z (fractional)
Hf: 0.0000 0.0000 0.0000  4 Ru 2.88, 4 Rh 2.88
Rh: 0.7500 0.7500 0.7500  4 Np 2.88, 4 Hf 2.88
Np: 0.5000 0.5000 0.5000  4 Ru 2.88, 4 Rh 2.88
Ru: 0.2500 0.2500 0.2500  4 Hf 2.88, 4 Np 2.88

=====

Entry 9:
HfZr4U3N8 | PBE | relaxed

## Properties
Formation energy without anion corrections (eV/f.u.): -25.44

Cell: 6.6536 6.6428 6.6529 Å, 120.06 120.00 90.00°
Closest atoms and distances in Å follow each position.
Element x y z (fractional)
N: 0.7551 0.2519 0.9967  1 Hf 2.30, 3 Zr 2.34-2.40, 2 U 2.37
N: 0.7584 0.7481 0.0033  1 Hf 2.30, 3 Zr 2.34-2.40, 2 U 2.37
N: 0.2465 0.2394 0.4929  3 Zr 2.32, 3 U 2.38
N: 0.2449 0.7481 0.4897  1 Hf 2.30, 3 Zr 2.34-2.40, 2 U 2.37
N: 0.2416 0.2519 0.9967  1 Hf 2.30, 3 Zr 2.34-2.40, 2 U 2.37
N: 0.2449 0.7481 0.0033  1 Hf 2.30, 3 Zr 2.34-2.40, 2 U 2.37
N: 0.7535 0.7606 0.5071  3 Zr 2.32, 3 U 2.38
N: 0.7551 0.2519 0.5103  1 Hf 2.30, 3 Zr 2.34-2.40, 2 U 2.37
Zr: 0.5000 0.0000 0.0000  6 N 2.40
Zr: 0.5000 0.0000 0.5000  6 N 2.32-2.34
Zr: 0.0000 0.0000 0.0000  6 N 2.32-2.34
Zr: 0.0000 0.0000 0.5000  6 N 2.32-2.34
U: 0.0000 0.5000 0.5000  6 N 2.37-2.38
U: 0.5000 0.5000 0.5000  6 N 2.37-2.38
U: 0.5000 0.5000 0.0000  6 N 2.37-2.38
Hf: 0.0000 0.5000 0.0000  6 N 2.30

=====

Entry 10:
LiNd2PbS4 | PBE | relaxed

## Properties
Formation energy without anion corrections (eV/f.u.): -11.74

Cell: 8.1854 8.1854 8.1742 Å, 119.95 119.95 89.65°
Closest atoms and distances in Å follow each position.
Element x y z (fractional)
S: 0.2544 0.2459 0.5005  3 Nd 2.84-2.90, 2 Li 2.90-2.91, 1 Pb 2.93
S: 0.7383 0.2451 0.4917  1 Li 2.85, 3 Nd 2.86-2.93, 2 Pb 2.95
S: 0.2549 0.7617 0.0083  1 Li 2.85, 3 Nd 2.86-2.93, 2 Pb 2.95
S: 0.7456 0.7541 0.4995  3 Nd 2.84-2.90, 2 Li 2.90-2.91, 1 Pb 2.93
S: 0.7459 0.7544 0.0005  3 Nd 2.84-2.90, 2 Li 2.90-2.91, 1 Pb 2.93
S: 0.7451 0.2383 0.9917  1 Li 2.85, 3 Nd 2.86-2.93, 2 Pb 2.95
S: 0.2617 0.7549 0.5083  1 Li 2.85, 3 Nd 2.86-2.93, 2 Pb 2.95
S: 0.2541 0.2456 0.9995  3 Nd 2.84-2.90, 2 Li 2.90-2.91, 1 Pb 2.93
Li: 0.0000 0.0000 0.0000  6 S 2.85-2.91
Li: 0.5000 0.5000 0.5000  6 S 2.85-2.91
Pb: 0.0000 0.5000 0.0000  6 S 2.93-2.95
Pb: 0.0000 0.5000 0.5000  6 S 2.93-2.95
Nd: 0.0000 0.0000 0.5000  6 S 2.90-2.93
Nd: 0.5000 0.0000 0.0000  6 S 2.84-2.86
Nd: 0.5000 0.0000 0.5000  6 S 2.84-2.86
Nd: 0.5000 0.5000 0.0000  6 S 2.90-2.93

=====

Entry 11:
CaTb7Nd2 | PBE | relaxed

## Properties
Energy relative to the elements (eV per formula unit): 1.026

Cell: 6.5907 9.0147 8.8464 Å, 118.82 131.80 63.41°
Closest atoms and distances in Å follow each position.
Element x y z (fractional)
Tb: 0.7934 0.6360 0.8609  4 Tb 3.22-3.55, 1 Ca 3.47, 2 Nd 3.51-3.59
Tb: 0.8947 0.3399 0.4592  6 Tb 3.32-3.68, 3 Nd 3.51-3.69
Tb: 0.2847 0.0612 0.7635  5 Tb 3.32-3.55, 2 Nd 3.39-3.63, 1 Ca 3.54
Tb: 0.7153 0.9388 0.2365  5 Tb 3.32-3.55, 2 Nd 3.39-3.63, 1 Ca 3.54
Tb: 0.5000 0.5000 0.0000  2 Nd 3.46, 8 Tb 3.66-3.73
Tb: 0.2066 0.3640 0.1391  4 Tb 3.22-3.55, 1 Ca 3.47, 2 Nd 3.51-3.59
Tb: 0.1053 0.6601 0.5408  6 Tb 3.32-3.68, 3 Nd 3.51-3.69
Nd: 0.4334 0.7675 0.4113  8 Tb 3.39-3.69, 1 Ca 3.73
Nd: 0.5666 0.2325 0.5887  8 Tb 3.39-3.69, 1 Ca 3.73
Ca: 0.0000 0.0000 0.0000  4 Tb 3.47-3.54, 2 Nd 3.73